Entry 1:
NaMgZnCd (PBE, optimized geometry); total moment = 0.00 μB per atom; calculated total energy = -1.2780 eV/atom; calculated formation energy = 0.00 eV per atom; V = 87.6 Å³/f.u.
1.0
-3.383 3.660 0.053
-4.290 -0.607 2.464
-0.846 2.551 4.198
Zn Na Cd Mg
1 1 1 1
direct
0.250 0.250 0.250
0.500 0.500 0.500
0.750 0.750 0.750
0.000 0.000 0.000

---

Entry 2:
K2Pb12Au7 (PBE, optimized geometry); total moment = 0.00 μB per atom; calculated total energy = -3.4528 eV/atom; calculated formation energy = -0.14 eV per atom; V = 600.3 Å³/f.u.
1.0
4.726 0.000 0.000
0.000 10.489 -6.056
0.000 0.000 12.111
Pb Au K
12 7 2
direct
0.500 0.553 0.772
0.000 0.052 0.536
0.000 0.773 0.744
0.500 0.711 0.105
0.000 0.484 0.948
0.000 0.464 0.516
0.500 0.394 0.289
0.000 0.971 0.227
0.000 0.256 0.029
0.500 0.895 0.606
0.500 0.219 0.447
0.500 0.228 0.781
0.000 0.333 0.667
0.000 0.747 0.969
0.500 0.428 0.067
0.500 0.933 0.362
0.500 0.638 0.572
0.000 0.222 0.253
0.000 0.031 0.778
0.500 0.000 0.000
0.000 0.667 0.333

---

Entry 3:
DySc3Pd2 (PBE, optimized geometry); total moment = 0.00 μB per atom; energy relative to the lowest polymorph listed for this composition = 0 meV/atom; calculated total energy = -6.3012 eV/atom; calculated formation energy = -0.64 eV per atom; V = 130.5 Å³/f.u.
1.0
-4.470 -0.857 -0.889
1.779 -3.849 -5.235
0.285 -6.680 5.008
Sc Pd Dy
6 4 2
direct
0.500 0.146 0.834
0.000 0.481 0.930
0.000 0.856 0.683
0.000 0.356 0.317
0.000 0.981 0.070
0.500 0.646 0.166
0.000 0.253 0.657
0.000 0.753 0.343
0.500 0.247 0.149
0.500 0.747 0.851
0.500 0.017 0.428
0.500 0.517 0.572